VASP calculation (GGA-PBE) on a geometry-optimized ZrI2O structure.

## Properties
ΔE_f (raw): -0.119 eV per atom

```
data_ZrI2O
_chemical_formula_sum 'Zr4 I8 O4'
_cell_length_a 7.024
_cell_length_b 7.024
_cell_length_c 7.024
_cell_angle_alpha 90.00
_cell_angle_beta 90.00
_cell_angle_gamma 90.00
_space_group_name_H-M_alt 'F m -3 m'
_space_group_IT_number 225
_space_group_name_Hall '-F 4 2 3'
loop_
_atom_site_label
_atom_site_type_symbol
_atom_site_fract_x
_atom_site_fract_y
_atom_site_fract_z
Zr1 Zr 0.000 0.000 0.000
I1 I 0.250 0.250 0.250
O1 O 0.000 0.000 0.500
```